Entry 1:
The following is a DFT calculation (PBE) of a geometry-optimized Be2SiS4 structure.

Final energy, eV/cell: -34.777
Total magnetic moment, μB/f.u.: 0.0

Cell lengths 6.930, 6.930, 6.930 Å; angles 136.01, 136.01, 63.96 degrees
Sites, in units of the cell vectors:
Be (0.000, 0.500, 0.500)
Be (0.500, 0.000, 0.500)
Si (0.000, 0.000, 0.000)
S (0.143, 0.660, 0.000)
S (0.340, 0.340, 0.483)
S (0.660, 0.143, 0.000)
S (0.857, 0.857, 0.517)


Entry 2:
The following is a DFT calculation (PBE) of a geometry-optimized BeSiS2 structure.

Final energy, eV/cell: -17.735
Offset from the most stable computed form, meV/atom: 138
Total magnetic moment, μB/f.u.: 0.0

Cell lengths 6.801, 6.801, 6.801 Å; angles 32.95, 32.95, 32.95 degrees
Sites, in units of the cell vectors:
Be (0.000, 0.000, 0.000)
Si (0.500, 0.500, 0.500)
S (0.098, 0.098, 0.098)
S (0.902, 0.902, 0.902)


Computed formation energy (no corrections) (eV per atom) in order:
-0.77; -0.08